(1)
A relaxed ScCrGa2 crystal, computed with PBE.

abc: 4.529 4.529 4.529
angles: 60.00 60.00 60.00
Site moments in Bohr magnetons follow the coordinates.
Atoms (fractional coordinates):
Sc 0.000 0.000 0.000  -0.17
Ga 0.750 0.750 0.750  -0.05
Ga 0.250 0.250 0.250  -0.05
Cr 0.500 0.500 0.500  2.94

Results
* energy of formation from the pure elements: -0.2639 eV per atom
* mass density: 5.98 g/cm³
* space group: Fm-3m
* total magnetization: 2.89 μB/cell

(2)
A relaxed ScCrGa2 crystal, computed with PBE.

abc: 4.035 4.102 4.102
angles: 90.00 90.00 90.00
Site moments in Bohr magnetons follow the coordinates.
Atoms (fractional coordinates):
Cr 0.500 0.000 0.000  3.31
Sc 0.500 0.500 0.500  0.10
Ga 0.000 0.500 0.000  -0.05
Ga 0.000 0.000 0.500  -0.05

Results
* energy of formation from the pure elements: -0.2209 eV per atom
* mass density: 5.78 g/cm³
* space group: P4/mmm
* total magnetization: 3.66 μB/cell

(3)
A relaxed Sc2CrGa2 crystal, computed with PBE.

abc: 6.910 6.910 3.933
angles: 90.00 90.00 90.00
Site moments in Bohr magnetons follow the coordinates.
Atoms (fractional coordinates):
Ga 0.630 0.130 0.000  -0.06
Ga 0.130 0.370 0.000  -0.05
Ga 0.370 0.870 0.000  -0.06
Ga 0.870 0.630 0.000  -0.05
Cr 0.500 0.500 0.000  3.14
Cr 0.000 0.000 0.000  3.15
Sc 0.826 0.326 0.500  -0.14
Sc 0.326 0.174 0.500  -0.12
Sc 0.174 0.674 0.500  -0.14
Sc 0.674 0.826 0.500  -0.12

Results
* energy of formation from the pure elements: -0.3440 eV per atom
* ΔE to the lowest computed polymorph: 0 meV/atom
* mass density: 4.97 g/cm³
* space group: P4/mbm
* total magnetization: 5.86 μB/cell

(4)
A relaxed ScCrGa2 crystal, computed with PBE.

abc: 3.053 3.053 7.049
angles: 90.00 90.00 90.00
Site moments in Bohr magnetons follow the coordinates.
Atoms (fractional coordinates):
Cr 0.500 0.500 0.000  2.58
Ga 0.000 0.000 0.781  -0.02
Ga 0.000 0.000 0.219  -0.02
Sc 0.500 0.500 0.500  0.29

Results
* energy of formation from the pure elements: -0.2245 eV per atom
* mass density: 5.98 g/cm³
* space group: P4/mmm
* total magnetization: 3.10 μB/cell

(5)
A relaxed ScCrGa3 crystal, computed with PBE.

abc: 5.123 5.123 5.123
angles: 90.00 90.00 90.00
Site moments in Bohr magnetons follow the coordinates.
Atoms (fractional coordinates):
Ga 0.500 0.000 0.000  -0.02
Ga 0.000 0.000 0.500  -0.02
Ga 0.000 0.500 0.000  -0.05
Sc 0.000 0.000 0.000  -0.11
Cr 0.500 0.500 0.500  4.13

Results
* energy of formation from the pure elements: 0.8692 eV per atom
* ΔE to the lowest computed polymorph: 806 meV/atom
* mass density: 3.78 g/cm³
* space group: Pm-3m
* total magnetization: 4.39 μB/cell

(6)
A relaxed ScCrGa3 crystal, computed with PBE.

abc: 4.603 4.603 4.603
angles: 90.00 90.00 90.00
Site moments in Bohr magnetons follow the coordinates.
Atoms (fractional coordinates):
Ga 0.000 0.500 0.000  -0.01
Ga 0.000 0.000 0.500  0.02
Ga 0.500 0.000 0.000  -0.04
Cr 0.000 0.000 0.000  0.85
Sc 0.500 0.500 0.500  0.01

Results
* energy of formation from the pure elements: 0.0631 eV per atom
* ΔE to the lowest computed polymorph: 0 meV/atom
* mass density: 5.21 g/cm³
* space group: Pm-3m
* total magnetization: 0.85 μB/cell

(7)
A relaxed ScCrGa crystal, computed with PBE.

abc: 3.009 3.009 11.383
angles: 97.60 97.60 90.00
Site moments in Bohr magnetons follow the coordinates.
Atoms (fractional coordinates):
Cr 0.724 0.724 0.449  -0.04
Cr 0.276 0.276 0.551  -0.04
Ga 0.155 0.155 0.311  0.00
Ga 0.845 0.845 0.689  0.00
Sc 0.429 0.429 0.858  0.24
Sc 0.571 0.571 0.142  0.24

Results
* energy of formation from the pure elements: -0.1410 eV per atom
* mass density: 5.47 g/cm³
* space group: I4/mmm
* total magnetization: 0.55 μB/cell

(8)
A relaxed Sc3CrGa crystal, computed with PBE.

abc: 4.815 4.815 4.815
angles: 90.00 90.00 90.00
Atoms (fractional coordinates):
Ga 0.500 0.500 0.500
Sc 0.000 0.000 0.500
Sc 0.000 0.500 0.000
Sc 0.500 0.000 0.000
Cr 0.000 0.000 0.000

Results
* energy of formation from the pure elements: 0.3714 eV per atom
* ΔE to the lowest computed polymorph: 0 meV/atom
* mass density: 3.82 g/cm³
* space group: Pm-3m
* total magnetization: 0.00 μB/cell

(9)
A relaxed ScCr2Ga crystal, computed with PBE.

abc: 7.040 7.040 5.604
angles: 51.08 51.08 90.00
Atoms (fractional coordinates):
Sc 0.250 0.750 0.500
Sc 0.500 0.500 0.000
Cr 0.375 0.346 0.750
Cr 0.096 0.625 0.250
Cr 0.654 0.125 0.250
Cr 0.875 0.904 0.750
Ga 0.750 0.250 0.500
Ga 0.000 0.000 0.000

Results
* energy of formation from the pure elements: 0.6435 eV per atom
* mass density: 5.70 g/cm³
* space group: I-42d
* total magnetization: 0.00 μB/cell

(10)
A relaxed ScTaCr2Ga crystal, computed with PBE.

abc: 4.626 5.006 4.626
angles: 90.00 90.00 90.00
Site moments in Bohr magnetons follow the coordinates.
Atoms (fractional coordinates):
Sc 0.500 0.500 0.500  -0.09
Ga 0.000 0.500 0.000  -0.07
Cr 0.000 0.000 0.500  2.17
Cr 0.500 0.000 0.000  2.75
Ta 0.000 0.000 0.000  -0.43

Results
* energy of formation from the pure elements: 0.9740 eV per atom
* mass density: 6.19 g/cm³
* space group: P4/mmm
* total magnetization: 4.62 μB/cell

(11)
A relaxed Sc2VCrGa crystal, computed with PBE.

abc: 4.579 4.725 4.579
angles: 90.00 90.00 90.00
Atoms (fractional coordinates):
Ga 0.000 0.500 0.000
Sc 0.500 0.000 0.000
Sc 0.000 0.000 0.500
Cr 0.000 0.000 0.000
V 0.500 0.500 0.500

Results
* energy of formation from the pure elements: 0.7970 eV per atom
* mass density: 4.40 g/cm³
* space group: P4/mmm
* total magnetization: 0.00 μB/cell

(12)
A relaxed ZrSc2CrGa crystal, computed with PBE.

abc: 5.196 4.462 5.196
angles: 90.00 90.00 90.00
Atoms (fractional coordinates):
Ga 0.500 0.500 0.500
Cr 0.000 0.500 0.000
Zr 0.000 0.000 0.000
Sc 0.000 0.000 0.500
Sc 0.500 0.000 0.000

Results
* energy of formation from the pure elements: 1.0945 eV per atom
* mass density: 4.17 g/cm³
* space group: P4/mmm
* total magnetization: 0.00 μB/cell